Li4InPAu2 | PBE | relaxed

It has space group P-4m2 (No. 115), with a = 4.203 Å, b = 4.203 Å, c = 7.027 Å, α = 90.00°, β = 90.00° and γ = 90.00°. The distinct sites, in fractional coordinates, are Li at (0.000, 0.000, 0.000), Li at (0.000, 0.500, 0.713), Li at (0.500, 0.500, 0.500), In at (0.500, 0.500, 0.000), P at (0.000, 0.000, 0.500) and Au at (0.000, 0.500, 0.265).

The energy is -3.294 eV/atom. The calculation puts the calculated volume at 15.5 A^3/atom.

NaErAl | PBE | relaxed

It has space group F-43m (No. 216), with a = 7.109 Å, b = 7.109 Å, c = 7.109 Å, α = 90.00°, β = 90.00° and γ = 90.00°. The distinct sites, in fractional coordinates, are Na at (0.000, 0.000, 0.000), Er at (0.250, 0.250, 0.750) and Al at (0.000, 0.000, 0.500).

The energy is -2.595 eV/atom. The calculation puts the calculated volume at 29.9 A^3/atom.

TbPdPt4 | PBE | relaxed

It has space group F-43m (No. 216), with a = 7.542 Å, b = 7.542 Å, c = 7.542 Å, α = 90.00°, β = 90.00° and γ = 90.00°. The distinct sites, in fractional coordinates, are Tb at (0.000, 0.000, 0.000), Pd at (0.250, 0.250, 0.250) and Pt at (0.125, 0.125, 0.625).

The energy is -6.378 eV/atom. The calculated formation energy comes out at -0.71 eV per atom. The calculation puts the calculated volume at 17.9 A^3/atom.

LaAl5Ni2 | PBE | relaxed

It has space group Immm (No. 71), with a = 4.016 Å, b = 7.053 Å, c = 9.678 Å, α = 90.00°, β = 90.00° and γ = 90.00°. The distinct sites, in fractional coordinates, are La at (0.000, 0.000, 0.000), Al at (0.000, 0.189, 0.341), Al at (0.000, 0.500, 0.000) and Ni at (0.000, 0.500, 0.237).

The energy is -4.959 eV/atom. The calculation puts the calculated volume at 17.1 A^3/atom.